# 1
{
  "formula": "TiCoO3",
  "functional": "meta-GGA SCAN",
  "state": "PBEsol geometry",
  "lattice_angstrom": [[2.4950, 1.4405, 4.5990], [-2.4950, 1.4405, 4.5990], [0.0000, -2.8810, 4.5990]],
  "species": ["Ti", "Ti", "Co", "Co", "O", "O", "O", "O", "O", "O"],
  "frac_coords": [[0.1461, 0.1461, 0.1461], [0.8539, 0.8539, 0.8539], [0.3488, 0.3488, 0.3488], [0.6512, 0.6512, 0.6512], [0.0568, 0.4370, 0.7639], [0.2361, 0.9432, 0.5630], [0.4370, 0.7639, 0.0568], [0.5630, 0.2361, 0.9432], [0.7639, 0.0568, 0.4370], [0.9432, 0.5630, 0.2361]]
}

# 2
{
  "formula": "IrOsAu",
  "functional": "meta-GGA SCAN",
  "state": "PBEsol geometry",
  "delta_e_f_ev_per_atom": 0.290,
  "lattice_angstrom": [[2.7496, 0.0000, 0.0000], [-1.3748, 2.3812, 0.0000], [0.0000, 0.0000, 6.8404]],
  "species": ["Ir", "Os", "Au"],
  "frac_coords": [[0.0000, 0.0000, 0.0000], [0.6667, 0.3333, 0.6965], [0.3333, 0.6667, 0.3510]]
}

# 3
{
  "formula": "Ba2HgMo",
  "functional": "meta-GGA SCAN",
  "state": "PBEsol geometry",
  "delta_e_f_ev_per_atom": 0.476,
  "lattice_angstrom": [[3.8573, 0.0000, 0.0000], [0.0000, 3.8573, 0.0000], [0.0000, 0.0000, 8.4329]],
  "species": ["Ba", "Ba", "Hg", "Mo"],
  "frac_coords": [[0.0000, 0.0000, 0.2398], [0.0000, 0.0000, 0.7602], [0.5000, 0.5000, 0.5000], [0.5000, 0.5000, 0.0000]]
}

# 4
{
  "formula": "SrMgCd4",
  "functional": "meta-GGA SCAN",
  "state": "PBEsol geometry",
  "delta_e_f_ev_per_atom": -0.228,
  "lattice_angstrom": [[0.0000, 4.1771, 4.1771], [4.1771, 0.0000, 4.1771], [4.1771, 4.1771, 0.0000]],
  "species": ["Sr", "Mg", "Cd", "Cd", "Cd", "Cd"],
  "frac_coords": [[0.0000, 0.0000, 0.0000], [0.2500, 0.2500, 0.2500], [0.1253, 0.6249, 0.6249], [0.6249, 0.1253, 0.6249], [0.6249, 0.6249, 0.1253], [0.6249, 0.6249, 0.6249]]
}

# 5
{
  "formula": "KTiAl2",
  "functional": "meta-GGA SCAN",
  "state": "PBEsol geometry",
  "delta_e_f_ev_per_atom": 0.693,
  "lattice_angstrom": [[5.2235, 0.0000, 0.0000], [0.0000, 5.2235, 0.0000], [0.0000, 0.0000, 18.8643]],
  "species": ["K", "K", "K", "K", "Ti", "Ti", "Ti", "Ti", "Al", "Al", "Al", "Al", "Al", "Al", "Al", "Al"],
  "frac_coords": [[0.0000, 0.2500, 0.3750], [0.0000, 0.7500, 0.6250], [0.5000, 0.2500, 0.1250], [0.5000, 0.7500, 0.8750], [0.0000, 0.2500, 0.8750], [0.0000, 0.7500, 0.1250], [0.5000, 0.2500, 0.6250], [0.5000, 0.7500, 0.3750], [0.0000, 0.0000, 0.0000], [0.0000, 0.5000, 0.0000], [0.2500, 0.2500, 0.7500], [0.2500, 0.7500, 0.2500], [0.5000, 0.0000, 0.5000], [0.5000, 0.5000, 0.5000], [0.7500, 0.2500, 0.7500], [0.7500, 0.7500, 0.2500]]
}

# 6
{
  "formula": "SiMoIO2",
  "functional": "meta-GGA SCAN",
  "state": "PBEsol geometry",
  "lattice_angstrom": [[3.6663, 0.0000, 0.0000], [0.0000, 3.6663, 0.0000], [0.0000, 0.0000, 5.8425]],
  "species": ["Si", "Mo", "I", "O", "O"],
  "frac_coords": [[0.0000, 0.0000, 0.0000], [0.5000, 0.5000, 0.5000], [0.0000, 0.0000, 0.5000], [0.0000, 0.5000, 0.0000], [0.5000, 0.0000, 0.0000]]
}

# 7
{
  "formula": "ReRu2Cl",
  "functional": "meta-GGA SCAN",
  "state": "PBEsol geometry",
  "de_polymorph_mev_per_atom": 226,
  "lattice_angstrom": [[2.8206, 0.0000, 0.0000], [0.0000, 4.4102, 0.0000], [0.0000, 0.0000, 8.6728]],
  "species": ["Re", "Re", "Ru", "Ru", "Ru", "Ru", "Cl", "Cl"],
  "frac_coords": [[0.0000, 0.0000, 0.0000], [0.5000, 0.5000, 0.5000], [0.0000, 0.5000, 0.2305], [0.0000, 0.5000, 0.7695], [0.5000, 0.0000, 0.2695], [0.5000, 0.0000, 0.7305], [0.0000, 0.0000, 0.5000], [0.5000, 0.5000, 0.0000]]
}

# 8
{
  "formula": "ScReC2",
  "functional": "meta-GGA SCAN",
  "state": "PBEsol geometry",
  "delta_e_f_ev_per_atom": 0.638,
  "lattice_angstrom": [[5.4540, 0.0000, 0.0000], [0.0000, 5.4540, 0.0000], [0.0000, 0.0000, 5.4540]],
  "species": ["Sc", "Sc", "Sc", "Sc", "Re", "Re", "Re", "Re", "C", "C", "C", "C", "C", "C", "C", "C"],
  "frac_coords": [[0.0000, 0.0000, 0.0000], [0.0000, 0.5000, 0.5000], [0.5000, 0.0000, 0.5000], [0.5000, 0.5000, 0.0000], [0.0000, 0.0000, 0.5000], [0.0000, 0.5000, 0.0000], [0.5000, 0.0000, 0.0000], [0.5000, 0.5000, 0.5000], [0.2500, 0.2500, 0.2500], [0.2500, 0.2500, 0.7500], [0.2500, 0.7500, 0.2500], [0.2500, 0.7500, 0.7500], [0.7500, 0.2500, 0.2500], [0.7500, 0.2500, 0.7500], [0.7500, 0.7500, 0.2500], [0.7500, 0.7500, 0.7500]]
}

| no. | final energy (eV/atom) |
| --- | --- |
| 1 | -12.879 |
| 2 | -70.422 |
| 3 | -45.062 |
| 4 | -25.046 |
| 5 | -9.273 |
| 6 | -18.945 |
| 7 | -36.293 |
| 8 | -25.746 |